Entry 1:
# Ho5Er4Tl (PBE-GGA, optimized geometry)
# size of the total moment = 0.0 μB/f.u.
# ΔE_f = -0.050 eV/atom
# energy relative to the lowest polymorph listed for this composition = 0 meV per atom
# mass density = 9356 kg/m3
data_Ho5Er4Tl
_space_group_name_H-M_alt 'P 4/m m m'
_space_group_IT_number 123
_space_group_name_Hall '-P 4 2'
_cell_length_a 3.5271
_cell_length_b 3.5271
_cell_length_c 24.2260
_cell_angle_alpha 90.00
_cell_angle_beta 90.00
_cell_angle_gamma 90.00
loop_
_atom_site_label
_atom_site_type_symbol
_atom_site_fract_x
_atom_site_fract_y
_atom_site_fract_z
_atom_site_occupancy
Ho1 Ho 0.0000 0.0000 0.0000 1
Ho2 Ho 0.0000 0.0000 0.2051 1
Ho3 Ho 0.0000 0.0000 0.4104 1
Er1 Er 0.5000 0.5000 0.1028 1
Er2 Er 0.5000 0.5000 0.3083 1
Tl1 Tl 0.5000 0.5000 0.5000 1



Entry 2:
# CePrDyIn (PBE-GGA, optimized geometry)
# size of the total moment = 0.0 μB/f.u.
# ΔE_f = -0.080 eV/atom
# mass density = 7980 kg/m3
data_CePrDyIn
_space_group_name_H-M_alt 'F -4 3 m'
_space_group_IT_number 216
_space_group_name_Hall 'F -4 2 3'
_cell_length_a 7.7459
_cell_length_b 7.7459
_cell_length_c 7.7459
_cell_angle_alpha 90.00
_cell_angle_beta 90.00
_cell_angle_gamma 90.00
loop_
_atom_site_label
_atom_site_type_symbol
_atom_site_fract_x
_atom_site_fract_y
_atom_site_fract_z
_atom_site_occupancy
Ce1 Ce 0.0000 0.0000 0.0000 1
Pr1 Pr 0.2500 0.2500 0.2500 1
Dy1 Dy 0.2500 0.2500 0.7500 1
In1 In 0.0000 0.0000 0.5000 1



Entry 3:
# RbLiUO4 (PBE-GGA, optimized geometry)
# size of the total moment = 0.0 μB/f.u.
# formation energy from raw total energies = -1721 kJ/mol of formula units
# mass density = 5821 kg/m3
data_RbLiUO4
_space_group_name_H-M_alt 'P 1 21/m 1'
_space_group_IT_number 11
_cell_length_a 5.5721
_cell_length_b 5.6403
_cell_length_c 7.2477
_cell_angle_alpha 90.00
_cell_angle_beta 98.89
_cell_angle_gamma 90.00
loop_
_space_group_symop_operation_xyz
'x,y,z'
'-x,-y,-z'
'-x,y+1/2,-z'
'x,-y+1/2,z'
loop_
_atom_site_label
_atom_site_type_symbol
_atom_site_fract_x
_atom_site_fract_y
_atom_site_fract_z
_atom_site_occupancy
Rb1 Rb 0.1975 0.2500 0.0778 1
Li1 Li 0.3569 0.2500 0.6786 1
U1 U 0.1890 0.7500 0.4619 1
O1 O 0.1081 0.0052 0.6674 1
O2 O 0.3070 0.7500 0.2161 1
O3 O 0.4574 0.2500 0.4354 1



Entry 4:
# TlAs2AuBr (PBE-GGA, optimized geometry)
# size of the total moment = 1.8 μB/f.u.
# formation energy from raw total energies = 495 kJ/mol of formula units
# energy relative to the lowest polymorph listed for this composition = 664 meV per atom
# mass density = 6379 kg/m3
data_TlAs2AuBr
_space_group_name_H-M_alt 'P 4/m m m'
_space_group_IT_number 123
_space_group_name_Hall '-P 4 2'
_cell_length_a 5.4223
_cell_length_b 5.4223
_cell_length_c 5.5878
_cell_angle_alpha 90.00
_cell_angle_beta 90.00
_cell_angle_gamma 90.00
loop_
_atom_site_label
_atom_site_type_symbol
_atom_site_fract_x
_atom_site_fract_y
_atom_site_fract_z
_atom_site_occupancy
Tl1 Tl 0.0000 0.0000 0.0000 1
As1 As 0.0000 0.5000 0.0000 1
Au1 Au 0.5000 0.5000 0.5000 1
Br1 Br 0.0000 0.0000 0.5000 1



Entry 5:
# Rb2PmInS4 (PBE-GGA, optimized geometry)
# size of the total moment = 0.0 μB/f.u.
# formation energy from raw total energies = -964 kJ/mol of formula units
# mass density = 4204 kg/m3
data_Rb2PmInS4
_space_group_name_H-M_alt 'I m m a'
_space_group_IT_number 74
_space_group_name_Hall '-I 2b 2'
_cell_length_a 8.4094
_cell_length_b 8.6163
_cell_length_c 12.1895
_cell_angle_alpha 90.00
_cell_angle_beta 90.00
_cell_angle_gamma 90.00
loop_
_atom_site_label
_atom_site_type_symbol
_atom_site_fract_x
_atom_site_fract_y
_atom_site_fract_z
_atom_site_occupancy
Rb1 Rb 0.0000 0.0000 0.0000 1
Rb2 Rb 0.2500 0.2500 0.2500 1
Pm1 Pm 0.0000 0.0000 0.5000 1
In1 In 0.2500 0.2500 0.7500 1
S1 S 0.0000 0.0444 0.7368 1
S2 S 0.2195 0.2500 0.5187 1



Entry 6:
# RbBa2NaAs (PBE-GGA, optimized geometry)
# size of the total moment = 0.0 μB/f.u.
# ΔE_f = -0.380 eV/atom
# energy relative to the lowest polymorph listed for this composition = 0 meV per atom
# mass density = 2643 kg/m3
data_RbBa2NaAs
_space_group_name_H-M_alt 'P 4/m m m'
_space_group_IT_number 123
_space_group_name_Hall '-P 4 2'
_cell_length_a 6.4554
_cell_length_b 6.4554
_cell_length_c 6.9053
_cell_angle_alpha 90.00
_cell_angle_beta 90.00
_cell_angle_gamma 90.00
loop_
_atom_site_label
_atom_site_type_symbol
_atom_site_fract_x
_atom_site_fract_y
_atom_site_fract_z
_atom_site_occupancy
Rb1 Rb 0.0000 0.0000 0.0000 1
Ba1 Ba 0.0000 0.5000 0.5000 1
Na1 Na 0.5000 0.5000 0.0000 1
As1 As 0.0000 0.0000 0.5000 1



Entry 7:
# Mg6GaSi2 (PBE-GGA, optimized geometry)
# size of the total moment = 0.0 μB/f.u.
# formation energy from raw total energies = -57 kJ/mol of formula units
# mass density = 2494 kg/m3
data_Mg6GaSi2
_space_group_name_H-M_alt 'I m m m'
_space_group_IT_number 71
_space_group_name_Hall '-I 2 2'
_cell_length_a 8.4532
_cell_length_b 8.8106
_cell_length_c 9.7149
_cell_angle_alpha 90.00
_cell_angle_beta 90.00
_cell_angle_gamma 90.00
loop_
_atom_site_label
_atom_site_type_symbol
_atom_site_fract_x
_atom_site_fract_y
_atom_site_fract_z
_atom_site_occupancy
Mg1 Mg 0.0000 0.2155 0.1792 1
Mg2 Mg 0.1926 0.2229 0.5000 1
Mg3 Mg 0.2018 0.5000 0.2494 1
Ga1 Ga 0.0000 0.5000 0.0000 1
Ga2 Ga 0.0000 0.5000 0.5000 1
Si1 Si 0.0000 0.0000 0.3783 1
Si2 Si 0.1483 0.0000 0.0000 1



Entry 8:
# In2MoAs (PBE-GGA, optimized geometry)
# size of the total moment = 0.0 μB/f.u.
# ΔE_f = 0.432 eV/atom
# mass density = 8201 kg/m3
data_In2MoAs
_space_group_name_H-M_alt 'R -3 m'
_space_group_IT_number 166
_space_group_name_Hall '-R 3 2"'
_cell_length_a 3.0688
_cell_length_b 3.0688
_cell_length_c 29.8287
_cell_angle_alpha 90.00
_cell_angle_beta 90.00
_cell_angle_gamma 120.00
loop_
_atom_site_label
_atom_site_type_symbol
_atom_site_fract_x
_atom_site_fract_y
_atom_site_fract_z
_atom_site_occupancy
In1 In 0.0000 0.0000 0.2455 1
Mo1 Mo 0.0000 0.0000 0.5000 1
As1 As 0.0000 0.0000 0.0000 1



Question: Which value of size of the total moment does entry 7 give?
Answer: 0.0 μB/f.u.



Question: The highest mass density belongs to which entry?
Answer: Ho5Er4Tl



Question: Which value of mass density does entry 1 give?
Answer: 9356 kg/m3



Question: size of the total moment of number 1 (Ho5Er4Tl)?
Answer: 0.0 μB/f.u.